CuTcSe2 | PBE | optimized geometry

Values from the calculation:
M_tot	0.0	μB/f.u.
raw formation energy	12	kJ/mol of formula units
calculated total energy	-5.33	eV per atom

abc: 3.258 3.469 13.565
angles: 90.00 90.00 90.00
Space group Imm2 (No. 44)
One atom of each set of equivalent atoms:
Cu  0.000  0.000  0.000 (multiplicity 2)
Tc  0.000  0.500  0.151 (multiplicity 2)
Se  0.000  0.000  0.498 (multiplicity 2)
Se  0.000  0.500  0.738 (multiplicity 2)